Crystalline KZrHg2 at its relaxed geometry. Source: Alexandria via LeMat-Bulk, functional GGA-PBEsol.

a b c (Å): 7.1322 7.1322 7.1322
angles (deg): 90.00 90.00 90.00
Space group F-43m (No. 216)
One atom of each set of equivalent atoms:
K 0.0000 0.0000 0.0000 [4 per cell]
Zr 0.2500 0.2500 0.7500 [4 per cell]
Hg 0.0000 0.0000 0.5000 [4 per cell]
Hg 0.2500 0.2500 0.2500 [4 per cell]

Computed properties:
Polymorph energy (0 for the lowest one) in meV/atom: 480
Calculated formation energy in eV/f.u.: 1.80

---

Crystalline Bi2O3 at its relaxed geometry. Source: Alexandria via LeMat-Bulk, functional GGA-PBEsol.

a b c (Å): 7.8701 7.8701 9.8547
angles (deg): 90.00 90.00 120.00
Space group R3m (No. 160, hexagonal axes)
One atom of each set of equivalent atoms:
Bi 0.0000 0.0000 0.0000 [3 per cell]
Bi 0.1692 0.3384 0.3380 [9 per cell]
O 0.2001 0.4001 0.5534 [9 per cell]
O 0.2011 0.4021 0.0481 [9 per cell]

Computed properties:
Formation energy from raw total energies in eV per atom: -1.122

---

Crystalline SbPtS3 at its relaxed geometry. Source: Alexandria via LeMat-Bulk, functional GGA-PBEsol.

a b c (Å): 4.6397 4.6397 4.6397
angles (deg): 90.00 90.00 90.00
Space group Pm-3m (No. 221)
One atom of each set of equivalent atoms:
Sb 0.0000 0.0000 0.0000 [1 per cell]
Pt 0.5000 0.5000 0.5000 [1 per cell]
S 0.0000 0.5000 0.5000 [3 per cell]

Computed properties:
Formation energy from raw total energies in eV per atom: 0.263
Polymorph energy (0 for the lowest one) in meV/atom: 0

---

Crystalline ReAg2W at its relaxed geometry. Source: Alexandria via LeMat-Bulk, functional GGA-PBEsol.

a b c (Å): 9.2531 2.6280 5.1783
angles (deg): 90.00 95.56 90.00
Space group Cm (No. 8)
One atom of each set of equivalent atoms:
Re 0.0000 0.0000 0.0000 [2 per cell]
Ag 0.0046 0.5000 0.4942 [2 per cell]
Ag 0.2551 0.0000 0.7142 [2 per cell]
W 0.2562 0.5000 0.2092 [2 per cell]

Computed properties:
Polymorph energy (0 for the lowest one) in meV/atom: 110
Calculated formation energy in eV/f.u.: 2.27